[1]
9
Lattice="-0.660 -2.974 3.241 4.779 1.215 5.139 -4.651 2.757 4.635" Properties=species:S:1:pos:R:3 comment="Sc8Hg, single point on PBEsol structure, DFT meta-GGA SCAN" ef_ev_per_atom=-0.082 crystal_system=tetragonal pbc="T T T"
Sc -1.516 2.245 4.803
Sc 2.790 -1.149 5.617
Sc -3.577 -0.108 5.277
Sc -1.733 -0.108 2.600
Sc -0.398 -0.664 5.413
Sc 1.644 1.728 4.971
Hg 0.000 0.000 0.000
Sc 1.329 -0.609 2.763
Sc -0.134 1.663 7.602

[2]
4
Lattice="3.840 0.000 0.000 0.000 4.480 0.012 -1.920 -1.281 5.100" Properties=species:S:1:pos:R:3 comment="ScAgSb2, single point on PBEsol structure, DFT meta-GGA SCAN" e_form_raw_mev_per_atom=-420 crystal_system=monoclinic pbc="T T T"
Sb 1.920 0.835 2.537
Sc 0.000 0.651 4.890
Ag 0.000 2.982 2.700
Sb 0.000 4.170 0.103

[3]
5
Lattice="-2.344 2.560 1.876 -1.699 -2.982 1.946 2.680 0.349 2.874" Properties=species:S:1:pos:R:3 comment="BeIrC3, single point on PBEsol structure, DFT meta-GGA SCAN" ef_ev_per_atom=2.517 crystal_system=cubic pbc="T T T"
C 1.340 0.174 1.437
Be -0.681 -0.037 3.348
C -1.172 1.280 0.938
C -0.850 -1.491 0.973
Ir 0.000 0.000 0.000

[4]
34
Lattice="-5.121 -0.952 1.870 2.652 -6.305 -4.136 4.153 -4.195 9.240" Properties=species:S:1:pos:R:3 comment="V2Bi4O11, single point on PBEsol structure, DFT meta-GGA SCAN" e_form_raw_mev_per_atom=-1773 e_above_lowest_polymorph_mev_per_atom=0 crystal_system=monoclinic pbc="T T T"
Bi -1.796 -5.987 1.305
V -2.996 -3.040 6.472
O 2.156 -7.516 6.918
O 3.319 -8.516 3.191
Bi 0.095 -4.574 -2.005
V -0.113 -0.021 0.041
O 2.060 -10.403 5.686
Bi 0.733 -3.277 1.464
V -1.876 -1.590 3.123
O 3.417 -5.554 8.327
Bi 2.803 -5.590 5.915
O 3.831 -7.068 1.012
Bi 1.549 -6.884 8.993
O -2.694 -2.623 4.822
O -0.962 -4.101 0.207
Bi 2.011 -6.648 2.463
O 0.060 -5.196 2.479
O 1.532 -3.699 4.619
O 2.266 -5.154 -2.814
Bi -0.539 -4.842 4.588
O -3.714 -1.668 2.506
O -0.657 -2.753 3.425
O 1.036 -9.448 3.372
O 1.105 -6.475 4.672
O 0.556 -5.019 7.197
V 3.009 -9.963 4.052
O 1.624 -3.545 -0.710
O 4.481 -9.882 4.922
O -1.346 -1.299 1.521
O 3.643 -5.879 3.757
O 2.610 -4.598 1.559
O 4.685 -6.971 6.022
Bi 0.247 -8.304 5.766
O 1.104 -6.436 -0.215

[5]
5
Lattice="-3.393 2.392 3.378 -4.153 -2.722 1.997 1.272 -2.076 6.987" Properties=species:S:1:pos:R:3 comment="Ba2Cd3, single point on PBEsol structure, DFT meta-GGA SCAN" ef_ev_per_atom=-0.292 crystal_system=trigonal pbc="T T T"
Ba -2.108 -1.737 7.593
Cd 0.000 0.000 0.000
Cd -0.578 -1.116 4.449
Ba -4.166 -0.669 4.769
Cd -5.696 -1.290 7.913

[6]
5
Lattice="3.660 0.000 0.000 0.000 3.660 0.000 0.000 0.000 3.660" Properties=species:S:1:pos:R:3 comment="CoB3Rh, single point on PBEsol structure, DFT meta-GGA SCAN" ef_ev_per_atom=0.842 crystal_system=cubic pbc="T T T"
B 1.830 0.000 0.000
B 0.000 0.000 1.830
Rh 1.830 1.830 1.830
Co 0.000 0.000 0.000
B 0.000 1.830 0.000

[7]
96
Lattice="-2.158 -7.268 5.968 9.393 -1.970 0.997 0.467 6.033 7.516" Properties=species:S:1:pos:R:3 comment="Li7OsN4, single point on PBEsol structure, DFT meta-GGA SCAN" e_form_raw_mev_per_atom=-462 crystal_system=cubic pbc="T T T"
Li 0.059 -2.657 6.669
N 1.572 -1.161 6.827
Li 5.532 1.184 9.645
Li 0.305 -0.792 5.121
Os 8.061 -0.429 4.424
N 3.482 -3.357 8.773
Li 2.170 -4.389 4.837
N 2.103 2.219 7.442
Li 5.782 1.428 5.957
Li 6.592 -4.306 10.689
N 6.821 1.308 7.880
N 8.944 -0.742 6.133
N 5.091 3.443 6.288
Li 1.110 1.101 3.792
N 0.275 -7.616 6.298
N 1.965 -0.818 3.694
N 9.401 -0.526 3.012
Li 7.107 -3.966 7.667
Li 2.127 -3.362 10.450
Li 4.329 -4.056 10.629
Li 7.795 0.934 9.706
N 2.611 -6.648 8.194
Li 4.322 -2.303 12.340
Li 3.450 2.130 5.925
Li 2.930 0.286 7.384
Os 0.832 2.303 8.873
Li 2.413 -3.105 6.908
N 6.131 -2.044 7.655
Li 7.433 -2.280 6.114
Li -0.880 -5.797 6.398
Li 2.861 -2.780 3.322
Li 1.473 4.315 7.384
N 7.312 1.370 4.439
Li 6.230 -7.520 7.098
Li 1.963 -1.892 12.182
N 6.683 -1.728 4.132
Li 6.588 -5.844 8.848
Li 0.468 -2.263 3.389
Li 5.295 -1.607 5.707
N 7.428 4.411 8.184
Li 8.582 2.592 8.084
Li 1.920 -4.633 8.525
N 8.317 -4.235 5.902
Os 6.870 -5.508 5.608
Li -0.498 -4.441 8.188
Os 4.855 -2.020 9.127
Li 5.576 0.157 4.032
Li 4.092 -6.847 6.690
N -0.614 1.031 8.579
Li 7.556 -3.641 4.081
N 0.063 4.089 9.001
N -1.242 -2.463 8.349
Li 6.674 -2.777 12.547
Os 2.848 -1.185 5.354
N 3.696 -2.939 5.304
N -1.699 -2.679 11.469
Li 0.270 -0.925 8.368
N 1.687 1.880 10.572
Li 3.312 1.643 9.174
Os -0.359 -2.776 10.058
Li 4.773 -3.491 7.098
N 4.220 0.152 5.709
Os 6.045 3.059 7.943
N 5.738 -2.387 10.788
N 2.916 -6.400 5.057
Li 5.223 -3.105 3.823
Li 2.408 -1.597 8.775
Li 7.398 -2.413 9.360
Li 5.290 -0.100 7.573
Li 8.200 1.236 6.294
Li 3.381 -0.902 2.141
N 0.390 -4.575 10.043
Li 2.479 -0.100 10.659
N 6.015 -5.085 3.909
N 1.019 -1.477 10.350
N 5.600 -5.424 7.040
Li 5.739 -1.313 2.299
Li 3.611 3.642 7.791
Li 0.146 0.436 10.401
Li 7.234 -0.942 11.092
Li 1.114 2.639 5.634
Os 1.657 -6.264 6.539
Li 0.595 0.761 6.814
Li 1.029 -0.428 1.934
N 4.006 -0.266 9.178
N 4.787 3.195 9.424
Li -0.093 -4.139 4.776
Li 7.644 -0.547 7.813
Li -0.346 -1.092 12.017
Li 4.391 -4.848 5.308
Li 3.373 0.851 3.853
Li 4.841 -0.425 11.160
N 0.881 -4.513 6.602
N 7.639 -7.294 5.481
Li 8.048 -2.113 2.464
Li 4.253 -5.335 8.557

[8]
40
Lattice="7.649 -0.044 0.000 -1.422 7.516 0.000 0.000 0.000 8.279" Properties=species:S:1:pos:R:3 comment="CuGeO3, single point on PBEsol structure, DFT meta-GGA SCAN" e_form_raw_mev_per_atom=-1375 crystal_system=orthorhombic pbc="T T T"
O 3.524 1.942 7.698
O 1.274 3.817 7.698
O -0.295 4.258 2.070
O 5.082 6.099 2.073
O -1.012 5.722 4.721
O 7.239 1.751 3.558
O 4.953 3.656 0.582
Ge 3.763 6.825 6.203
O 1.986 6.995 6.210
O 4.905 3.557 3.461
Cu 3.114 3.736 4.140
O 5.810 0.037 4.721
Ge 6.034 4.932 6.203
O 1.969 2.363 2.067
Ge 3.306 6.276 2.063
Ge 2.921 1.196 6.217
Cu 0.876 5.601 0.000
Ge 5.577 4.384 2.063
Cu 0.000 0.000 4.140
O -0.923 5.786 7.601
Cu 0.815 5.651 4.140
Ge 2.464 0.648 2.077
O 0.417 7.436 3.558
O 1.322 3.916 4.818
O 4.241 0.478 2.070
Cu 5.351 1.871 0.000
O 6.522 3.215 6.210
O 0.369 7.337 0.678
O 3.613 2.006 4.818
Cu 5.412 1.821 4.140
O 1.145 1.374 6.207
O 7.150 1.686 0.678
O 2.614 5.466 3.461
Cu 0.000 0.000 0.000
O 2.703 5.531 0.582
Cu 3.114 3.736 0.000
Ge 0.193 2.540 2.077
O 5.858 0.136 7.601
Ge 0.650 3.088 6.217
O 4.258 5.110 6.212

[9]
96
Lattice="-2.212 7.378 -3.781 -8.954 -3.464 -1.519 -2.901 3.641 8.801" Properties=species:S:1:pos:R:3 comment="GaPH4O6, single point on PBEsol structure, DFT meta-GGA SCAN" crystal_system=orthorhombic e_tot_ev_per_cell=-788.63 pbc="T T T"
O -13.496 7.040 2.267
Ga -7.147 0.694 -1.150
P -6.365 7.212 -1.144
P -8.172 -2.221 -0.082
O -0.572 0.515 1.233
H -9.860 1.653 -3.532
O -3.289 -0.228 1.368
O -10.034 4.034 5.725
O -4.631 3.756 0.193
O -9.437 3.798 3.308
H -6.883 5.201 0.404
H -3.115 2.168 2.336
H -8.076 4.724 1.417
P -7.703 0.342 4.644
O -4.785 5.611 2.294
H -11.550 4.100 -0.679
H -7.185 2.354 3.096
H -9.408 -0.888 -1.928
O -11.782 2.587 2.312
H -5.855 4.958 -3.579
O -6.222 0.711 4.921
H -6.890 4.079 5.318
H -5.992 2.830 2.083
O -8.228 1.362 3.597
O -5.894 8.553 4.541
O -6.360 3.282 5.662
P -9.387 4.756 4.508
O -7.721 4.618 0.506
O -8.174 -0.998 -1.041
O -4.090 1.289 3.189
H -7.569 7.232 2.131
H -10.590 2.631 5.312
H -6.214 6.246 2.371
H -2.518 3.455 4.179
H -4.208 5.902 7.033
P -4.211 5.361 3.719
O -10.929 1.858 4.745
P -9.857 2.193 -0.219
Ga -10.024 1.963 3.009
H -11.636 4.132 2.073
H -8.216 4.063 -3.018
O -5.840 6.192 -0.096
P -5.896 9.775 3.582
H -3.478 4.923 -1.811
O -10.091 3.708 -0.470
H -3.111 6.575 -1.759
H -4.660 8.442 5.428
O -3.603 7.548 0.651
Ga -2.257 1.048 0.316
O -1.392 2.472 -0.811
H -6.499 0.323 1.369
H -10.957 0.980 5.260
O -4.034 3.520 -2.225
O -8.847 1.645 -1.239
O -3.922 1.486 -0.666
O -7.846 6.844 -1.421
Ga -6.921 6.860 4.650
O -3.879 1.925 5.915
O -10.146 6.069 4.167
H -2.432 3.422 1.428
O -4.841 3.380 7.708
O -7.937 5.163 4.876
Ga -11.811 6.506 3.185
O -7.121 6.538 2.726
O -11.691 5.114 1.809
O -7.708 4.273 -2.162
O -3.139 5.697 -1.245
H -8.213 2.596 7.080
H -9.998 -0.476 2.131
O -6.347 2.937 2.994
O -6.947 1.017 0.774
O -2.377 2.441 1.691
P -4.681 2.798 -1.007
O -5.510 -0.458 -0.957
O -3.977 3.846 3.971
Ga -5.134 2.317 4.474
Ga -4.044 5.592 0.492
O -10.779 7.783 2.132
H -7.854 1.308 1.130
O -8.558 8.013 4.457
H -4.742 0.213 -0.845
O -9.227 4.175 -4.208
O -6.131 2.392 -1.376
Ga -8.934 5.238 -0.974
O -5.221 5.910 4.739
H -9.326 7.341 4.345
O -9.978 6.266 0.311
H -5.852 3.491 6.518
O -10.189 5.629 -2.414
H -10.952 5.386 1.165
O -10.465 0.006 2.849
O -12.676 5.082 4.312
O -2.286 4.967 1.188
H -4.070 8.030 1.370
O -9.282 1.944 1.206
H -7.178 3.475 -1.818

[10]
6
Lattice="3.976 0.000 0.000 0.000 3.976 0.000 -1.988 -1.988 15.309" Properties=species:S:1:pos:R:3 comment="Sr2Tl, single point on PBEsol structure, DFT meta-GGA SCAN" ef_ev_per_atom=-0.390 crystal_system=tetragonal pbc="T T T"
Sr 1.988 0.000 5.698
Tl 0.000 1.988 7.655
Sr 1.988 0.000 9.611
Sr 1.988 1.988 1.957
Tl 0.000 0.000 0.000
Sr 0.000 0.000 13.352

[11]
14
Lattice="-0.877 3.914 0.415 -2.616 -1.175 5.553 5.511 0.938 2.794" Properties=species:S:1:pos:R:3 comment="VSO5, single point on PBEsol structure, DFT meta-GGA SCAN" e_form_raw_mev_per_atom=-1991 e_above_lowest_polymorph_mev_per_atom=16 crystal_system=tetragonal pbc="T T T"
O -0.939 2.611 1.439
O -0.308 2.467 4.127
S -0.438 1.957 0.208
O 0.887 0.804 5.433
S 1.009 1.839 4.381
O 2.077 3.498 1.718
O -1.737 0.154 6.015
V 2.426 1.942 1.553
O -1.506 0.298 2.870
V -1.855 1.854 3.035
O 4.134 1.835 2.569
O 2.579 2.756 7.503
O 1.510 1.185 3.150
O 1.948 2.899 4.814

[12]
12
Lattice="-0.992 -1.523 3.528 3.262 -4.436 -0.998 6.515 3.992 3.555" Properties=species:S:1:pos:R:3 comment="Pt2Au, single point on PBEsol structure, DFT meta-GGA SCAN" ef_ev_per_atom=0.107 e_above_lowest_polymorph_mev_per_atom=29 crystal_system=orthorhombic pbc="T T T"
Pt 3.948 1.434 2.846
Au 3.207 -1.154 3.753
Au 2.659 -4.707 2.065
Pt 5.351 0.229 4.953
Au 5.578 -0.814 2.334
Pt 1.059 -2.499 2.568
Pt 1.825 0.035 1.645
Pt 7.726 0.531 3.518
Pt 4.836 -3.402 3.240
Pt 6.960 -2.003 4.441
Pt 3.433 -2.197 1.133
Au 6.126 2.739 4.021